Entry P
# Mn2SiHg

Mn2SiHg at its PBEsol-relaxed geometry (meta-GGA SCAN, Alexandria).

Lattice parameters (Å, degrees): 4.6364 4.6364 4.6364 134.94 124.79 73.92
Closest atoms and distances in Å follow each position.
Element x y z (fractional)
Mn (0.2237, 0.2237, 0.0000)  2 Si 2.43, 4 Hg 2.71
Mn (0.7763, 0.7763, 0.0000)  2 Si 2.43, 4 Hg 2.71
Si (0.0000, 0.5000, 0.5000)  4 Mn 2.43
Hg (0.5000, 0.0000, 0.5000)  8 Mn 2.71, 4 Si 2.79

The value obtained for the density of states at the Fermi level is 0.634 states/eV/atom. The total moment comes out at 1.5548 μB/atom.

Entry Q
# Mn2SiHg

Mn2SiHg at its PBEsol-relaxed geometry (meta-GGA SCAN, Alexandria).

Lattice parameters (Å, degrees): 4.2916 4.2916 4.2916 60.00 60.00 60.00
Closest atoms and distances in Å follow each position.
Element x y z (fractional)
Mn (0.0000, 0.0000, 0.0000)  4 Hg 2.63, 4 Mn 2.63
Mn (0.2500, 0.2500, 0.2500)  4 Mn 2.63, 4 Si 2.63
Si (0.5000, 0.5000, 0.5000)  4 Hg 2.63, 4 Mn 2.63
Hg (0.7500, 0.7500, 0.7500)  4 Mn 2.63, 4 Si 2.63

The value obtained for the density of states at the Fermi level is 0.474 states/eV/atom. The total moment comes out at 1.3346 μB/atom.

Entry R
# Mn2SiHg

Mn2SiHg at its PBEsol-relaxed geometry (meta-GGA SCAN, Alexandria).

Lattice parameters (Å, degrees): 4.9657 4.9657 4.9657 136.04 136.04 63.92
Closest atoms and distances in Å follow each position.
Element x y z (fractional)
Mn (0.0000, 0.0000, 0.0000)  4 Si 2.63, 4 Hg 2.81, 4 Mn 2.81
Mn (0.7500, 0.2500, 0.5000)  4 Hg 2.63, 4 Si 2.81, 4 Mn 2.81
Si (0.5000, 0.5000, 0.0000)  8 Mn 2.63-2.81, 4 Hg 2.81
Hg (0.2500, 0.7500, 0.5000)  8 Mn 2.63-2.81, 4 Si 2.81

The value obtained for the density of states at the Fermi level is 0.516 states/eV/atom. The total moment comes out at 1.6437 μB/atom.

Entry S
# Mn2SiHg

Mn2SiHg at its PBEsol-relaxed geometry (meta-GGA SCAN, Alexandria).

Lattice parameters (Å, degrees): 2.7616 2.7616 7.1007 90.00 90.00 90.15
Closest atoms and distances in Å follow each position.
Element x y z (fractional)
Mn (0.0000, 0.0000, 0.2065)  4 Si 2.44
Mn (0.0000, 0.0000, 0.7935)  4 Si 2.44
Si (0.5000, 0.5000, 0.0000)  8 Mn 2.44
Hg (0.5000, 0.5000, 0.5000)  4 Hg 2.76, 8 Mn 2.85-2.86

The value obtained for the density of states at the Fermi level is 0.448 states/eV/atom. The total moment comes out at 1.3233 μB/atom.

Relative stability in kJ/mol of atoms, measured from the most stable structure: entry P 11.7; entry Q 41.2; entry R 9.7; entry S 0.0

Entry P
# Mn2HgTe

Mn2HgTe at its PBEsol-relaxed geometry (meta-GGA SCAN, Alexandria).

Lattice parameters (Å, degrees): 3.3907 3.3907 6.1914 90.00 90.00 90.00
Closest atoms and distances in Å follow each position.
Element x y z (fractional)
Mn (0.0000, 0.0000, 0.2396)  4 Te 2.82, 4 Hg 2.89, 1 Mn 2.97
Mn (0.0000, 0.0000, 0.7604)  4 Te 2.82, 4 Hg 2.89, 1 Mn 2.97
Hg (0.5000, 0.5000, 0.5000)  8 Mn 2.89, 2 Te 3.10
Te (0.5000, 0.5000, 0.0000)  8 Mn 2.82, 2 Hg 3.10

The value obtained for the density of states at the Fermi level is 0.636 states/eV/atom. The total moment comes out at 1.9219 μB/atom.

Entry Q
# Mn2HgTe

Mn2HgTe at its PBEsol-relaxed geometry (meta-GGA SCAN, Alexandria).

Lattice parameters (Å, degrees): 3.7096 4.0216 5.3724 90.00 110.11 90.00
Closest atoms and distances in Å follow each position.
Element x y z (fractional)
Mn (0.0000, 0.0000, 0.0000)  2 Mn 2.72, 3 Te 2.77-2.94, 4 Hg 2.77
Mn (0.1818, 0.5000, 0.3643)  2 Mn 2.72, 3 Hg 2.75-2.95, 4 Te 2.77
Hg (0.4550, 0.5000, 0.9102)  7 Mn 2.75-2.95
Te (0.7254, 0.0000, 0.4512)  7 Mn 2.77-2.94

The value obtained for the density of states at the Fermi level is 0.679 states/eV/atom. The total moment comes out at 2.0027 μB/atom.

Relative stability in kJ/mol of atoms, measured from the most stable structure: entry P 9.5; entry Q 0.0

Entry P
# MnHg2W

MnHg2W at its PBEsol-relaxed geometry (meta-GGA SCAN, Alexandria).

Lattice parameters (Å, degrees): 5.5434 5.5434 5.5434 148.62 128.98 61.13
Closest atoms and distances in Å follow each position.
Element x y z (fractional)
Mn (0.0000, 0.0000, 0.0000)  2 W 2.33
Hg (0.4635, 0.4635, 0.0000)  4 Mn 2.84, 6 Hg 3.00-3.17, 2 W 3.04
Hg (0.7446, 0.2446, 0.5000)  2 Mn 2.86, 4 W 2.87, 6 Hg 3.00-3.17
W (0.1867, 0.6867, 0.5000)  2 Mn 2.33

The value obtained for the density of states at the Fermi level is 0.658 states/eV/atom. The total moment comes out at 0.4977 μB/atom.

Entry Q
# MnHg2W

MnHg2W at its PBEsol-relaxed geometry (meta-GGA SCAN, Alexandria).

Lattice parameters (Å, degrees): 4.9277 4.9277 4.9277 130.67 130.67 72.33
Closest atoms and distances in Å follow each position.
Element x y z (fractional)
Mn (0.0000, 0.0000, 0.0000)  8 Hg 2.86-2.91, 4 W 2.86
Hg (0.2500, 0.7500, 0.5000)  4 Hg 2.86, 4 Mn 2.86, 4 W 2.91
Hg (0.5000, 0.5000, 0.0000)  4 Hg 2.86, 4 W 2.86, 4 Mn 2.91
W (0.7500, 0.2500, 0.5000)  8 Hg 2.86-2.91, 4 Mn 2.86

The value obtained for the density of states at the Fermi level is 0.528 states/eV/atom. The total moment comes out at 0.4931 μB/atom.

Relative stability in kJ/mol of atoms, measured from the most stable structure: entry P 0.0; entry Q 5.1

Entry P
# ZrMnHg

ZrMnHg at its PBEsol-relaxed geometry (meta-GGA SCAN, Alexandria).

Lattice parameters (Å, degrees): 4.5539 4.5539 4.5539 60.00 60.00 60.00
Closest atoms and distances in Å follow each position.
Element x y z (fractional)
Zr (0.0000, 0.0000, 0.0000)  4 Hg 2.79, 4 Mn 2.79
Mn (0.7500, 0.7500, 0.7500)  4 Zr 2.79
Hg (0.2500, 0.2500, 0.2500)  4 Zr 2.79

The value obtained for the density of states at the Fermi level is 0.912 states/eV/atom. The total moment comes out at 1.5067 μB/atom.

Entry Q
# ZrMnHg

ZrMnHg at its PBEsol-relaxed geometry (meta-GGA SCAN, Alexandria).

Lattice parameters (Å, degrees): 3.0907 3.0907 6.8415 90.00 90.00 120.00
Closest atoms and distances in Å follow each position.
Element x y z (fractional)
Zr (0.0000, 0.0000, 0.0000)  3 Mn 2.80, 3 Hg 3.08, 6 Zr 3.09
Mn (0.3333, 0.6667, 0.3148)  3 Zr 2.80, 3 Hg 2.82, 6 Mn 3.09
Hg (0.6667, 0.3333, 0.6337)  3 Mn 2.82, 3 Zr 3.08, 6 Hg 3.09

The value obtained for the density of states at the Fermi level is 0.571 states/eV/atom. The total moment comes out at 0.9975 μB/atom.

Relative stability in kJ/mol of atoms, measured from the most stable structure: entry P 44.6; entry Q 0.0

Entry P
# HgMo

HgMo at its PBEsol-relaxed geometry (meta-GGA SCAN, Alexandria).

Lattice parameters (Å, degrees): 5.0394 5.0394 5.0394 132.40 132.40 69.60
Closest atoms and distances in Å follow each position.
Element x y z (fractional)
Hg (0.3750, 0.6250, 0.7500)  8 Mo 2.88-2.90, 4 Hg 2.90
Hg (0.6250, 0.3750, 0.2500)  8 Mo 2.88-2.90, 4 Hg 2.90
Mo (0.1250, 0.8750, 0.2500)  8 Hg 2.88-2.90, 4 Mo 2.90
Mo (0.8750, 0.1250, 0.7500)  8 Hg 2.88-2.90, 4 Mo 2.90

The value obtained for the density of states at the Fermi level is 0.646 states/eV/atom. The total moment comes out at 0.0000 μB/atom.

Entry Q
# HgMo

HgMo at its PBEsol-relaxed geometry (meta-GGA SCAN, Alexandria).

Lattice parameters (Å, degrees): 3.1859 3.1859 7.1914 90.00 90.00 90.00
Closest atoms and distances in Å follow each position.
Element x y z (fractional)
Hg (0.2500, 0.2500, 0.1449)  5 Mo 2.97-3.17, 8 Hg 3.07-3.19
Hg (0.7500, 0.7500, 0.8551)  5 Mo 2.97-3.17, 8 Hg 3.07-3.19
Mo (0.2500, 0.2500, 0.5856)  4 Mo 2.57
Mo (0.7500, 0.7500, 0.4144)  4 Mo 2.57

The value obtained for the density of states at the Fermi level is 0.575 states/eV/atom. The total moment comes out at 0.0000 μB/atom.

Relative stability in kJ/mol of atoms, measured from the most stable structure: entry P 21.8; entry Q 0.0

Entry P
# Hg2Mo

Hg2Mo at its PBEsol-relaxed geometry (meta-GGA SCAN, Alexandria).

Lattice parameters (Å, degrees): 4.7659 4.7659 5.7784 90.00 90.00 120.00
Closest atoms and distances in Å follow each position.
Element x y z (fractional)
Hg (0.0000, 0.0000, 0.0000)  8 Hg 2.89-3.11, 6 Mo 3.11
Hg (0.0000, 0.0000, 0.5000)  8 Hg 2.89-3.11, 6 Mo 3.11
Hg (0.3333, 0.6667, 0.2500)  5 Mo 2.75-2.89
Hg (0.6667, 0.3333, 0.7500)  5 Mo 2.75-2.89
Mo (0.3333, 0.6667, 0.7500)  5 Hg 2.75-2.89
Mo (0.6667, 0.3333, 0.2500)  5 Hg 2.75-2.89

The value obtained for the density of states at the Fermi level is 0.481 states/eV/atom. The total moment comes out at 0.7219 μB/atom.

Entry Q
# Hg2Mo

Hg2Mo at its PBEsol-relaxed geometry (meta-GGA SCAN, Alexandria).

Lattice parameters (Å, degrees): 5.5240 5.5240 5.5240 101.65 101.65 126.59
Closest atoms and distances in Å follow each position.
Element x y z (fractional)
Hg (0.1659, 0.6659, 0.8317)  4 Mo 2.88, 2 Hg 2.99
Hg (0.3341, 0.1659, 0.5000)  4 Mo 2.88, 2 Hg 2.99
Hg (0.6659, 0.8341, 0.5000)  4 Mo 2.88, 2 Hg 2.99
Hg (0.8341, 0.3341, 0.1683)  4 Mo 2.88, 2 Hg 2.99
Mo (0.2500, 0.2500, 0.0000)  2 Mo 2.48
Mo (0.7500, 0.7500, 0.0000)  2 Mo 2.48

The value obtained for the density of states at the Fermi level is 0.740 states/eV/atom. The total moment comes out at 0.0000 μB/atom.

Relative stability in kJ/mol of atoms, measured from the most stable structure: entry P 29.6; entry Q 0.0